No. 1
DFT (SCAN) results for a crystal of LaYIr2 relaxed with PBEsol.

Lattice parameters (Å, degrees): 3.265 4.736 5.644 90.00 90.00 90.00
Fractional coordinates of all 4 atoms:
La 0.000 0.000 0.000
Y 0.500 0.500 0.424
Ir 0.000 0.000 0.499
Ir 0.500 0.500 0.924

Properties
The calculation puts the size of the total moment at 0.0 μB per cell. As for the space group: Pmm2 (25). The volume is 87.3 Å³ per cell. The energy relative to the elements is -48 kJ/mol of atoms. For the density of states at the Fermi level, the calculation gives 1.40 states/eV/cell.

---

No. 2
DFT (SCAN) results for a crystal of ScNi2W relaxed with PBEsol.

Lattice parameters (Å, degrees): 4.305 4.305 5.412 97.14 97.14 36.25
Fractional coordinates of all 4 atoms:
Sc 0.000 0.000 0.000
Ni 0.251 0.251 0.701
Ni 0.749 0.749 0.299
W 0.500 0.500 0.500

Properties
The calculation puts the size of the total moment at 0.0 μB per cell. As for the space group: C2/m (12). The volume is 58.8 Å³ per cell. The energy relative to the elements is 16 kJ/mol of atoms. For the density of states at the Fermi level, the calculation gives 3.22 states/eV/cell.

---

No. 3
DFT (SCAN) results for a crystal of AsOs relaxed with PBEsol.

Lattice parameters (Å, degrees): 2.920 2.920 7.870 90.00 90.00 120.00
Fractional coordinates of all 4 atoms:
As 0.000 0.000 0.000
As 0.000 0.000 0.500
Os 0.333 0.667 0.250
Os 0.667 0.333 0.750

Properties
The calculation puts the size of the total moment at 0.0 μB per cell. As for the space group: P6_3/mmc (194). The volume is 58.1 Å³ per cell. The energy relative to the elements is 32 kJ/mol of atoms. For the density of states at the Fermi level, the calculation gives 2.09 states/eV/cell.

---

No. 4
DFT (SCAN) results for a crystal of Na2Li2Si relaxed with PBEsol.

Lattice parameters (Å, degrees): 6.722 6.722 4.962 90.00 90.00 90.00
Fractional coordinates of all 10 atoms:
Na 0.188 0.312 0.000
Na 0.312 0.812 0.000
Na 0.688 0.188 0.000
Na 0.812 0.688 0.000
Li 0.164 0.664 0.500
Li 0.336 0.164 0.500
Li 0.664 0.836 0.500
Li 0.836 0.336 0.500
Si 0.000 0.000 0.500
Si 0.500 0.500 0.500

Properties
The calculation puts the size of the total moment at 0.0 μB per cell. As for the space group: P4/mbm (127). The volume is 224.2 Å³ per cell. For the density of states at the Fermi level, the calculation gives 3.44 states/eV/cell. The formation energy without anion corrections comes out at 0.06 eV per atom.

---

No. 5
DFT (SCAN) results for a crystal of KZr2Ni relaxed with PBEsol.

Lattice parameters (Å, degrees): 3.010 3.010 10.389 90.00 90.00 90.00
Fractional coordinates of all 4 atoms:
K 0.000 0.000 0.000
Zr 0.500 0.500 0.337
Zr 0.500 0.500 0.663
Ni 0.000 0.000 0.500

Properties
The calculation puts the size of the total moment at 0.7 μB per cell. As for the space group: P4/mmm (123). The volume is 94.1 Å³ per cell. The energy relative to the elements is 26 kJ/mol of atoms. For the density of states at the Fermi level, the calculation gives 3.07 states/eV/cell.

---

No. 6
DFT (SCAN) results for a crystal of Gd3CCl3 relaxed with PBEsol.

Lattice parameters (Å, degrees): 9.207 9.207 9.207 109.47 109.47 109.47
Fractional coordinates of all 28 atoms:
Gd 0.016 0.033 0.266
Gd 0.016 0.484 0.750
Gd 0.033 0.266 0.016
Gd 0.234 0.266 0.750
Gd 0.234 0.467 0.484
Gd 0.266 0.016 0.033
Gd 0.266 0.750 0.234
Gd 0.467 0.484 0.234
Gd 0.484 0.234 0.467
Gd 0.484 0.750 0.016
Gd 0.750 0.016 0.484
Gd 0.750 0.234 0.266
C 0.000 0.250 0.500
C 0.250 0.250 0.250
C 0.250 0.500 0.000
C 0.500 0.000 0.250
Cl 0.250 0.758 0.742
Cl 0.250 0.992 0.508
Cl 0.508 0.250 0.992
Cl 0.508 0.758 0.516
Cl 0.516 0.508 0.758
Cl 0.742 0.250 0.758
Cl 0.742 0.992 0.984
Cl 0.758 0.516 0.508
Cl 0.758 0.742 0.250
Cl 0.984 0.742 0.992
Cl 0.992 0.508 0.250
Cl 0.992 0.984 0.742

Properties
The calculation puts the size of the total moment at 87.1 μB per cell. As for the space group: I4_132 (214). The volume is 600.8 Å³ per cell. For the density of states at the Fermi level, the calculation gives 7.68 states/eV/cell. The formation energy without anion corrections comes out at -1.70 eV per atom.

---

No. 7
DFT (SCAN) results for a crystal of CrB2S relaxed with PBEsol.

Lattice parameters (Å, degrees): 5.006 5.006 5.006 119.10 119.10 91.56
Fractional coordinates of all 8 atoms:
Cr 0.000 0.000 0.000
Cr 0.750 0.250 0.500
B 0.167 0.125 0.542
B 0.375 0.833 0.958
B 0.583 0.625 0.458
B 0.875 0.417 0.042
S 0.250 0.750 0.500
S 0.500 0.500 0.000

Properties
The calculation puts the size of the total moment at 5.2 μB per cell. As for the space group: I-42d (122). The volume is 89.9 Å³ per cell. For the density of states at the Fermi level, the calculation gives 3.41 states/eV/cell. The formation energy without anion corrections comes out at 0.56 eV per atom.

---

No. 8
DFT (SCAN) results for a crystal of LiMgIr2 relaxed with PBEsol.

Lattice parameters (Å, degrees): 2.793 4.455 4.502 90.00 90.00 90.00
Fractional coordinates of all 4 atoms:
Li 0.000 0.000 0.000
Mg 0.500 0.500 0.882
Ir 0.000 0.500 0.379
Ir 0.500 0.000 0.489

Properties
The calculation puts the size of the total moment at 0.0 μB per cell. As for the space group: Pmm2 (25). The volume is 56.0 Å³ per cell. The energy relative to the elements is -31 kJ/mol of atoms. For the density of states at the Fermi level, the calculation gives 1.62 states/eV/cell.

---

No. 9
DFT (SCAN) results for a crystal of NaMnCu3Se4 relaxed with PBEsol.

Lattice parameters (Å, degrees): 5.754 5.754 5.754 90.00 90.00 90.00
Fractional coordinates of all 9 atoms:
Na 0.000 0.000 0.000
Mn 0.500 0.500 0.500
Cu 0.000 0.500 0.500
Cu 0.500 0.000 0.500
Cu 0.500 0.500 0.000
Se 0.268 0.268 0.732
Se 0.268 0.732 0.268
Se 0.732 0.268 0.268
Se 0.732 0.732 0.732

Properties
The calculation puts the size of the total moment at 3.0 μB per cell. As for the space group: P-43m (215). The volume is 190.5 Å³ per cell. For the density of states at the Fermi level, the calculation gives 2.73 states/eV/cell. The formation energy without anion corrections comes out at -0.49 eV per atom.

---

No. 10
DFT (SCAN) results for a crystal of TiGa2F2 relaxed with PBEsol.

Lattice parameters (Å, degrees): 6.880 6.880 6.880 152.86 152.86 38.76
Fractional coordinates of all 5 atoms:
Ti 0.000 0.000 0.000
Ga 0.365 0.365 0.000
Ga 0.635 0.635 0.000
F 0.250 0.750 0.500
F 0.750 0.250 0.500

Properties
The calculation puts the size of the total moment at 1.2 μB per cell. As for the space group: I4/mmm (139). The volume is 67.7 Å³ per cell. For the density of states at the Fermi level, the calculation gives 2.10 states/eV/cell. The formation energy without anion corrections comes out at -1.09 eV per atom.

---

No. 11
DFT (SCAN) results for a crystal of AgMoIr2 relaxed with PBEsol.

Lattice parameters (Å, degrees): 5.307 5.307 2.710 104.12 104.12 117.38
Fractional coordinates of all 4 atoms:
Ag 0.000 0.000 0.000
Mo 0.500 0.500 0.000
Ir 0.000 0.500 0.500
Ir 0.500 0.000 0.500

Properties
The calculation puts the size of the total moment at 0.0 μB per cell. As for the space group: C2/m (12). The volume is 59.8 Å³ per cell. The energy relative to the elements is 39 kJ/mol of atoms. For the density of states at the Fermi level, the calculation gives 2.86 states/eV/cell.

---

No. 12
DFT (SCAN) results for a crystal of Ti2FePbF relaxed with PBEsol.

Lattice parameters (Å, degrees): 4.636 4.636 3.753 90.00 90.00 90.00
Fractional coordinates of all 5 atoms:
Ti 0.000 0.500 0.000
Ti 0.500 0.000 0.000
Fe 0.000 0.000 0.000
Pb 0.500 0.500 0.500
F 0.000 0.000 0.500

Properties
The calculation puts the size of the total moment at 0.0 μB per cell. As for the space group: P4/mmm (123). The volume is 80.7 Å³ per cell. For the density of states at the Fermi level, the calculation gives 3.08 states/eV/cell. The formation energy without anion corrections comes out at -0.21 eV per atom.

---

No. 13
DFT (SCAN) results for a crystal of ZnPb2Se relaxed with PBEsol.

Lattice parameters (Å, degrees): 5.444 5.444 5.444 127.84 127.84 76.88
Fractional coordinates of all 4 atoms:
Zn 0.000 0.000 0.000
Pb 0.250 0.750 0.500
Pb 0.750 0.250 0.500
Se 0.500 0.500 0.000

Properties
The calculation puts the size of the total moment at 0.0 μB per cell. As for the space group: I4/mmm (139). The volume is 97.7 Å³ per cell. For the density of states at the Fermi level, the calculation gives 1.49 states/eV/cell. The formation energy without anion corrections comes out at 0.11 eV per atom.

---

No. 14
DFT (SCAN) results for a crystal of CdAg2Rh relaxed with PBEsol.

Lattice parameters (Å, degrees): 2.849 2.849 8.015 90.00 90.00 90.00
Fractional coordinates of all 4 atoms:
Cd 0.000 0.000 0.000
Ag 0.500 0.500 0.262
Ag 0.500 0.500 0.738
Rh 0.000 0.000 0.500

Properties
The calculation puts the size of the total moment at 0.5 μB per cell. As for the space group: P4/mmm (123). The volume is 65.0 Å³ per cell. The energy relative to the elements is 15 kJ/mol of atoms. For the density of states at the Fermi level, the calculation gives 2.73 states/eV/cell.